Computed, not measured: Sr3Co2IrO9 after structural relaxation at the GGA+U level of DFT.

The crystal system is trigonal. The calculation puts the electronic total energy at -6.238 eV per atom. Its density of states at the Fermi level is 8.2 states/eV/cell.

The structure belongs to space group P-3m1 (No. 164); the cell edges are 5.5963, 5.5963 and 6.8184 Å and the angles 90.00°, 90.00° and 120.00°. The distinct sites, in fractional coordinates, are Sr at (0.0000, 0.0000, 0.0000), Sr at (0.3333, 0.6667, 0.6742), Co at (0.3333, 0.6667, 0.1530), Ir at (0.0000, 0.0000, 0.5000), O at (0.0000, 0.5000, 0.0000) and O at (0.1651, 0.3303, 0.3355).